Entry 1:
VASP calculation (PBE) on a relaxed structure of Mg3CdS.

Geometry as CIF:
```
data_Mg3CdS
_cell_length_a 5.1913
_cell_length_b 5.1913
_cell_length_c 5.1913
_cell_angle_alpha 90.00
_cell_angle_beta 90.00
_cell_angle_gamma 90.00
_space_group_name_H-M_alt 'P m -3 m'
_space_group_IT_number 221
_space_group_name_Hall '-P 4 2 3'
loop_
_atom_site_label
_atom_site_type_symbol
_atom_site_fract_x
_atom_site_fract_y
_atom_site_fract_z
_atom_site_occupancy
Mg1 Mg 0.0000 0.0000 0.5000 1
Cd1 Cd 0.0000 0.0000 0.0000 1
S1 S 0.5000 0.5000 0.5000 1
```

Properties
E_form (uncorrected)   0.310 eV/atom
Energy above the most stable polymorph in this dataset   0.519 eV per atom
E_tot   -1.66 eV/atom


Entry 2:
VASP calculation (PBE) on a relaxed structure of MgCdS2.

Geometry as CIF:
```
data_MgCdS2
_cell_length_a 7.1372
_cell_length_b 8.2274
_cell_length_c 6.6751
_cell_angle_alpha 90.00
_cell_angle_beta 90.00
_cell_angle_gamma 90.00
_space_group_name_H-M_alt 'P n a 21'
_space_group_IT_number 33
_space_group_name_Hall 'P 2c -2n'
loop_
_atom_site_label
_atom_site_type_symbol
_atom_site_fract_x
_atom_site_fract_y
_atom_site_fract_z
_atom_site_occupancy
Mg1 Mg 0.0836 0.1254 0.0000 1
Cd1 Cd 0.0859 0.6247 0.9999 1
S1 S 0.0759 0.1179 0.6306 1
S2 S 0.0886 0.6320 0.6143 1
```

Properties
E_form (uncorrected)   -1.032 eV/atom
E_tot   -3.72 eV/atom


Entry 3:
VASP calculation (PBE) on a relaxed structure of MgCdS2.

Geometry as CIF:
```
data_MgCdS2
_cell_length_a 3.7463
_cell_length_b 7.3078
_cell_length_c 7.5659
_cell_angle_alpha 90.00
_cell_angle_beta 119.64
_cell_angle_gamma 90.00
_space_group_name_H-M_alt 'P 1 c 1'
_space_group_IT_number 7
_space_group_name_Hall 'P -2yc'
loop_
_atom_site_label
_atom_site_type_symbol
_atom_site_fract_x
_atom_site_fract_y
_atom_site_fract_z
_atom_site_occupancy
Mg1 Mg 0.0000 0.1520 0.0000 1
Cd1 Cd 0.9462 0.3850 0.4484 1
S1 S 0.3336 0.3794 0.8353 1
S2 S 0.7479 0.0960 0.2474 1
```

Properties
E_form (uncorrected)   -0.953 eV/atom
E_tot   -3.64 eV/atom


Entry 4:
VASP calculation (PBE) on a relaxed structure of MgCdS2.

Geometry as CIF:
```
data_MgCdS2
_cell_length_a 3.6756
_cell_length_b 19.0124
_cell_length_c 5.1348
_cell_angle_alpha 90.00
_cell_angle_beta 90.00
_cell_angle_gamma 90.00
_space_group_name_H-M_alt 'C m c m'
_space_group_IT_number 63
_space_group_name_Hall '-C 2c 2'
loop_
_atom_site_label
_atom_site_type_symbol
_atom_site_fract_x
_atom_site_fract_y
_atom_site_fract_z
_atom_site_occupancy
Mg1 Mg 0.0000 0.1765 0.2500 1
Cd1 Cd 0.0000 0.4362 0.2500 1
S1 S 0.0000 0.3039 0.2500 1
S2 S 0.0000 0.4236 0.7500 1
```

Properties
E_form (uncorrected)   -0.547 eV/atom
E_tot   -3.24 eV/atom


What did the first record say?
VASP calculation (PBE) on a relaxed structure of Mg3CdS.

Geometry as CIF:
```
data_Mg3CdS
_cell_length_a 5.1913
_cell_length_b 5.1913
_cell_length_c 5.1913
_cell_angle_alpha 90.00
_cell_angle_beta 90.00
_cell_angle_gamma 90.00
_space_group_name_H-M_alt 'P m -3 m'
_space_group_IT_number 221
_space_group_name_Hall '-P 4 2 3'
loop_
_atom_site_label
_atom_site_type_symbol
_atom_site_fract_x
_atom_site_fract_y
_atom_site_fract_z
_atom_site_occupancy
Mg1 Mg 0.0000 0.0000 0.5000 1
Cd1 Cd 0.0000 0.0000 0.0000 1
S1 S 0.5000 0.5000 0.5000 1
```

Properties
E_form (uncorrected)   0.310 eV/atom
Energy above the most stable polymorph in this dataset   0.519 eV per atom
E_tot   -1.66 eV/atom